1.
# PuCuSbO

PuCuSbO after structural relaxation (PBE, Alexandria via LeMat-Bulk).

The structure in POSCAR format:
```
PuCuSbO
1.0
-3.178 -1.918 1.401
1.036 -3.226 -2.064
5.069 -3.052 7.318
O Sb Pu Cu
2 2 2 2
Direct
0.500 0.500 0.000 O
0.000 0.000 0.000 O
0.500 0.000 0.683 Sb
0.000 0.500 0.317 Sb
0.000 0.500 0.874 Pu
0.500 0.000 0.126 Pu
0.500 0.500 0.500 Cu
0.000 0.000 0.500 Cu
```

The calculation puts the raw total energy at -33.17 eV per formula unit. As for the formation energy (no corrections): -1415 meV/atom.

***

2.
# K2ZrIr

K2ZrIr after structural relaxation (PBE, Alexandria via LeMat-Bulk).

The structure in POSCAR format:
```
K2ZrIr
1.0
-7.377 -4.788 -8.544
4.474 -11.162 2.392
-3.176 -8.307 -1.400
Ir Zr K
2 2 4
Direct
0.000 0.000 0.000 Ir
0.750 0.250 0.500 Ir
0.500 0.500 0.000 Zr
0.250 0.750 0.500 Zr
0.375 0.228 0.750 K
0.772 0.125 0.250 K
0.875 0.022 0.750 K
0.978 0.625 0.250 K
```

The calculation puts the raw total energy at -16.59 eV per formula unit. The calculation puts the formation energy at 3.01 eV per formula unit.

***

3.
# BeAl2Fe6

BeAl2Fe6 after structural relaxation (PBE, Alexandria via LeMat-Bulk).

The structure in POSCAR format:
```
BeAl2Fe6
1.0
-1.510 -1.277 -1.543
2.381 -4.677 5.082
-2.928 -0.339 6.685
Be Al Fe
1 2 6
Direct
0.647 0.000 0.000 Be
0.244 0.322 0.322 Al
0.013 0.675 0.675 Al
0.797 0.011 0.669 Fe
0.363 0.328 0.991 Fe
0.388 0.329 0.674 Fe
0.797 0.669 0.011 Fe
0.363 0.991 0.328 Fe
0.388 0.674 0.329 Fe
```

The calculation puts the raw total energy at -62.69 eV per formula unit. The calculation puts the formation energy at -0.70 eV per formula unit.

***

4.
# AgHg2Os

AgHg2Os after structural relaxation (PBE, Alexandria via LeMat-Bulk).

The structure in POSCAR format:
```
AgHg2Os
1.0
-2.442 -1.361 0.617
1.113 -0.043 4.307
-2.685 5.157 0.745
Hg Ag Os
2 1 1
Direct
0.000 0.000 0.980 Hg
0.500 0.500 0.280 Hg
0.500 0.500 0.751 Ag
0.000 0.000 0.489 Os
```

The calculation puts the raw total energy at -11.80 eV per formula unit. The calculation puts the formation energy at 2.89 eV per formula unit.

***

Which value of raw total energy does entry 4 give? -11.80 eV per formula unit

***

Number 2 is which compound? K2ZrIr

***

Repeat the first record exactly.
# PuCuSbO

PuCuSbO after structural relaxation (PBE, Alexandria via LeMat-Bulk).

The structure in POSCAR format:
```
PuCuSbO
1.0
-3.178 -1.918 1.401
1.036 -3.226 -2.064
5.069 -3.052 7.318
O Sb Pu Cu
2 2 2 2
Direct
0.500 0.500 0.000 O
0.000 0.000 0.000 O
0.500 0.000 0.683 Sb
0.000 0.500 0.317 Sb
0.000 0.500 0.874 Pu
0.500 0.000 0.126 Pu
0.500 0.500 0.500 Cu
0.000 0.000 0.500 Cu
```

The calculation puts the raw total energy at -33.17 eV per formula unit. As for the formation energy (no corrections): -1415 meV/atom.

***

raw total energy of number 4 (AgHg2Os)? -11.80 eV per formula unit